1.
{
  "formula": "YGaPd4",
  "functional": "PBE",
  "state": "relaxed",
  "e_form_ev_per_atom": -0.60,
  "vol_a3_per_cell": 107.2,
  "e_above_lowest_polymorph_ev_per_atom": 0.047,
  "lattice": [[0.000, 3.770, 3.770], [3.770, 0.000, 3.770], [3.770, 3.770, 0.000]],
  "species": ["Y", "Ga", "Pd", "Pd", "Pd", "Pd"],
  "fractional_positions": [[0.000, 0.000, 0.000], [0.750, 0.750, 0.750], [0.375, 0.375, 0.375], [0.375, 0.375, 0.874], [0.375, 0.874, 0.375], [0.874, 0.375, 0.375]]
}



2.
{
  "formula": "Y2Ga9Pd3",
  "functional": "PBE",
  "state": "relaxed",
  "e_form_ev_per_atom": -0.61,
  "vol_a3_per_cell": 493.6,
  "lattice": [[6.664, -3.854, 0.000], [6.664, 3.854, 0.000], [-4.424, 0.000, 9.610]],
  "species": ["Y", "Y", "Y", "Y", "Ga", "Ga", "Ga", "Ga", "Ga", "Ga", "Ga", "Ga", "Ga", "Ga", "Ga", "Ga", "Ga", "Ga", "Ga", "Ga", "Ga", "Ga", "Pd", "Pd", "Pd", "Pd", "Pd", "Pd"],
  "fractional_positions": [[0.084, 0.251, 0.251], [0.251, 0.084, 0.751], [0.749, 0.916, 0.249], [0.916, 0.749, 0.749], [0.025, 0.860, 0.077], [0.140, 0.975, 0.423], [0.193, 0.358, 0.578], [0.212, 0.582, 0.251], [0.308, 0.478, 0.931], [0.358, 0.193, 0.078], [0.376, 0.624, 0.750], [0.418, 0.788, 0.249], [0.478, 0.308, 0.431], [0.522, 0.692, 0.569], [0.582, 0.212, 0.751], [0.624, 0.376, 0.250], [0.642, 0.807, 0.922], [0.692, 0.522, 0.069], [0.788, 0.418, 0.749], [0.807, 0.642, 0.422], [0.860, 0.025, 0.577], [0.975, 0.140, 0.923], [0.000, 0.500, 0.000], [0.160, 0.669, 0.499], [0.331, 0.840, 0.001], [0.500, 0.000, 0.500], [0.669, 0.160, 0.999], [0.840, 0.331, 0.501]]
}



3.
{
  "formula": "YGa2Pd",
  "functional": "PBE",
  "state": "relaxed",
  "e_form_ev_per_atom": -0.74,
  "vol_a3_per_cell": 306.1,
  "lattice": [[8.201, 0.000, 0.000], [0.000, 6.756, 0.000], [0.000, 0.000, 5.526]],
  "species": ["Y", "Y", "Y", "Y", "Ga", "Ga", "Ga", "Ga", "Ga", "Ga", "Ga", "Ga", "Pd", "Pd", "Pd", "Pd"],
  "fractional_positions": [[0.039, 0.250, 0.129], [0.461, 0.750, 0.629], [0.539, 0.250, 0.371], [0.961, 0.750, 0.871], [0.191, 0.053, 0.619], [0.191, 0.447, 0.619], [0.309, 0.553, 0.119], [0.309, 0.947, 0.119], [0.691, 0.053, 0.881], [0.691, 0.447, 0.881], [0.809, 0.553, 0.381], [0.809, 0.947, 0.381], [0.088, 0.750, 0.367], [0.412, 0.250, 0.867], [0.588, 0.750, 0.133], [0.912, 0.250, 0.633]]
}



4.
{
  "formula": "YGa8Pd4",
  "functional": "PBE",
  "state": "relaxed",
  "e_form_ev_per_atom": -0.26,
  "vol_a3_per_cell": 262.8,
  "e_above_lowest_polymorph_ev_per_atom": 0.282,
  "lattice": [[2.905, 1.677, 8.992], [-2.905, 1.677, 8.992], [0.000, -3.354, 8.992]],
  "species": ["Y", "Ga", "Ga", "Ga", "Ga", "Ga", "Ga", "Ga", "Ga", "Pd", "Pd", "Pd", "Pd"],
  "fractional_positions": [[0.000, 0.000, 0.000], [0.250, 0.250, 0.250], [0.253, 0.739, 0.739], [0.261, 0.261, 0.747], [0.261, 0.747, 0.261], [0.739, 0.253, 0.739], [0.739, 0.739, 0.253], [0.747, 0.261, 0.261], [0.750, 0.750, 0.750], [0.000, 0.000, 0.500], [0.000, 0.500, 0.000], [0.500, 0.000, 0.000], [0.500, 0.500, 0.500]]
}



5.
{
  "formula": "YGa12Pd4",
  "functional": "PBE",
  "state": "relaxed",
  "e_form_ev_per_atom": -0.25,
  "vol_a3_per_cell": 340.9,
  "lattice": [[-4.401, 4.401, 4.401], [4.401, -4.401, 4.401], [4.401, 4.401, -4.401]],
  "species": ["Y", "Ga", "Ga", "Ga", "Ga", "Ga", "Ga", "Ga", "Ga", "Ga", "Ga", "Ga", "Ga", "Pd", "Pd", "Pd", "Pd"],
  "fractional_positions": [[0.000, 0.000, 0.000], [0.151, 0.347, 0.498], [0.151, 0.653, 0.804], [0.196, 0.849, 0.347], [0.347, 0.196, 0.849], [0.347, 0.498, 0.151], [0.498, 0.151, 0.347], [0.502, 0.849, 0.653], [0.653, 0.502, 0.849], [0.653, 0.804, 0.151], [0.804, 0.151, 0.653], [0.849, 0.347, 0.196], [0.849, 0.653, 0.502], [0.000, 0.000, 0.500], [0.000, 0.500, 0.000], [0.500, 0.000, 0.000], [0.500, 0.500, 0.500]]
}



6.
{
  "formula": "YGa2Pd",
  "functional": "PBE",
  "state": "relaxed",
  "e_form_ev_per_atom": -0.59,
  "vol_a3_per_cell": 76.7,
  "lattice": [[4.150, 0.000, 0.000], [0.000, 4.150, 0.000], [0.000, 0.000, 4.454]],
  "species": ["Y", "Ga", "Ga", "Pd"],
  "fractional_positions": [[0.000, 0.000, 0.000], [0.000, 0.500, 0.500], [0.500, 0.000, 0.500], [0.500, 0.500, 0.000]]
}



7.
{
  "formula": "YGaPd4",
  "functional": "PBE",
  "state": "relaxed",
  "e_form_ev_per_atom": -0.65,
  "vol_a3_per_cell": 214.7,
  "e_above_lowest_polymorph_ev_per_atom": 0.000,
  "lattice": [[4.902, 0.000, 0.000], [0.823, 5.514, 0.000], [0.679, 0.781, 7.944]],
  "species": ["Y", "Y", "Ga", "Ga", "Pd", "Pd", "Pd", "Pd", "Pd", "Pd", "Pd", "Pd"],
  "fractional_positions": [[0.171, 0.067, 0.264], [0.829, 0.933, 0.736], [0.000, 0.500, 0.500], [0.500, 0.500, 0.000], [0.002, 0.405, 0.844], [0.280, 0.917, 0.931], [0.313, 0.129, 0.604], [0.445, 0.594, 0.662], [0.555, 0.406, 0.338], [0.687, 0.871, 0.396], [0.720, 0.083, 0.069], [0.998, 0.595, 0.156]]
}



8.
{
  "formula": "YGa2Pd4",
  "functional": "PBE",
  "state": "relaxed",
  "e_form_ev_per_atom": -0.77,
  "vol_a3_per_cell": 476.8,
  "e_above_lowest_polymorph_ev_per_atom": 0.000,
  "lattice": [[16.617, 0.000, 0.000], [0.000, 4.309, 0.000], [0.000, 0.000, 6.659]],
  "species": ["Y", "Y", "Y", "Y", "Ga", "Ga", "Ga", "Ga", "Ga", "Ga", "Ga", "Ga", "Pd", "Pd", "Pd", "Pd", "Pd", "Pd", "Pd", "Pd", "Pd", "Pd", "Pd", "Pd", "Pd", "Pd", "Pd", "Pd"],
  "fractional_positions": [[0.140, 0.250, 0.090], [0.360, 0.750, 0.590], [0.640, 0.250, 0.410], [0.860, 0.750, 0.910], [0.061, 0.750, 0.741], [0.204, 0.250, 0.636], [0.296, 0.750, 0.136], [0.439, 0.250, 0.241], [0.561, 0.750, 0.759], [0.704, 0.250, 0.864], [0.796, 0.750, 0.364], [0.939, 0.250, 0.259], [0.025, 0.750, 0.135], [0.059, 0.250, 0.490], [0.171, 0.750, 0.406], [0.211, 0.750, 0.832], [0.289, 0.250, 0.332], [0.329, 0.250, 0.906], [0.441, 0.750, 0.990], [0.475, 0.250, 0.635], [0.525, 0.750, 0.365], [0.559, 0.250, 0.010], [0.671, 0.750, 0.094], [0.711, 0.750, 0.668], [0.789, 0.250, 0.168], [0.829, 0.250, 0.594], [0.941, 0.750, 0.510], [0.975, 0.250, 0.865]]
}



9.
{
  "formula": "YGaPd2",
  "functional": "PBE",
  "state": "relaxed",
  "e_form_ev_per_atom": -0.70,
  "vol_a3_per_cell": 74.0,
  "lattice": [[4.445, 0.000, 0.000], [0.000, 4.445, 0.000], [0.000, 0.000, 3.747]],
  "species": ["Y", "Ga", "Pd", "Pd"],
  "fractional_positions": [[0.000, 0.000, 0.000], [0.500, 0.500, 0.000], [0.000, 0.500, 0.500], [0.500, 0.000, 0.500]]
}



10.
{
  "formula": "Y5GaPd2",
  "functional": "PBE",
  "state": "relaxed",
  "e_form_ev_per_atom": -0.61,
  "vol_a3_per_cell": 404.1,
  "lattice": [[-3.884, 3.884, 6.698], [3.884, -3.884, 6.698], [3.884, 3.884, -6.698]],
  "species": ["Y", "Y", "Y", "Y", "Y", "Y", "Y", "Y", "Y", "Y", "Ga", "Ga", "Pd", "Pd", "Pd", "Pd"],
  "fractional_positions": [[0.000, 0.000, 0.000], [0.016, 0.516, 0.821], [0.195, 0.016, 0.500], [0.305, 0.805, 0.821], [0.484, 0.305, 0.500], [0.500, 0.500, 0.000], [0.516, 0.695, 0.500], [0.695, 0.195, 0.179], [0.805, 0.984, 0.500], [0.984, 0.484, 0.179], [0.250, 0.250, 0.000], [0.750, 0.750, 0.000], [0.133, 0.367, 0.500], [0.367, 0.867, 0.234], [0.633, 0.133, 0.766], [0.867, 0.633, 0.500]]
}



11.
{
  "formula": "Y6Ga2Pd",
  "functional": "PBE",
  "state": "relaxed",
  "e_form_ev_per_atom": -0.40,
  "vol_a3_per_cell": 490.4,
  "lattice": [[6.132, 0.000, 0.000], [0.000, 8.290, 0.000], [-5.612, 0.000, 9.647]],
  "species": ["Y", "Y", "Y", "Y", "Y", "Y", "Y", "Y", "Y", "Y", "Y", "Y", "Ga", "Ga", "Ga", "Ga", "Pd", "Pd"],
  "fractional_positions": [[0.069, 0.170, 0.440], [0.069, 0.330, 0.940], [0.328, 0.681, 0.439], [0.328, 0.819, 0.939], [0.392, 0.035, 0.269], [0.392, 0.465, 0.769], [0.608, 0.535, 0.231], [0.608, 0.965, 0.731], [0.672, 0.181, 0.061], [0.672, 0.319, 0.561], [0.931, 0.670, 0.060], [0.931, 0.830, 0.560], [0.181, 0.125, 0.753], [0.181, 0.375, 0.253], [0.819, 0.625, 0.747], [0.819, 0.875, 0.247], [0.000, 0.000, 0.000], [0.000, 0.500, 0.500]]
}



12.
{
  "formula": "Y2GaPd",
  "functional": "PBE",
  "state": "relaxed",
  "e_form_ev_per_atom": -0.14,
  "vol_a3_per_cell": 296.1,
  "lattice": [[3.410, 0.000, 0.000], [-1.705, 2.953, 0.000], [0.000, 0.000, 29.401]],
  "species": ["Y", "Y", "Y", "Y", "Y", "Y", "Ga", "Ga", "Ga", "Pd", "Pd", "Pd"],
  "fractional_positions": [[0.000, 0.000, 0.090], [0.000, 0.000, 0.910], [0.333, 0.667, 0.577], [0.333, 0.667, 0.757], [0.667, 0.333, 0.243], [0.667, 0.333, 0.423], [0.000, 0.000, 0.500], [0.333, 0.667, 0.167], [0.667, 0.333, 0.833], [0.000, 0.000, 0.000], [0.333, 0.667, 0.667], [0.667, 0.333, 0.333]]
}



13.
{
  "formula": "Y4Ga3Pd",
  "functional": "PBE",
  "state": "relaxed",
  "e_form_ev_per_atom": -0.69,
  "vol_a3_per_cell": 189.2,
  "lattice": [[3.907, 0.000, 0.000], [0.000, 4.348, 0.000], [0.000, 0.000, 11.140]],
  "species": ["Y", "Y", "Y", "Y", "Ga", "Ga", "Ga", "Pd"],
  "fractional_positions": [[0.000, 0.000, 0.000], [0.000, 0.500, 0.276], [0.500, 0.000, 0.485], [0.500, 0.500, 0.783], [0.000, 0.000, 0.710], [0.000, 0.500, 0.560], [0.500, 0.500, 0.056], [0.500, 0.000, 0.212]]
}



14.
{
  "formula": "Y2Ga4Pd3",
  "functional": "PBE",
  "state": "relaxed",
  "e_form_ev_per_atom": -0.78,
  "vol_a3_per_cell": 331.6,
  "lattice": [[2.879, -7.588, 0.000], [2.879, 7.588, 0.000], [0.000, 0.000, 7.591]],
  "species": ["Y", "Y", "Y", "Y", "Ga", "Ga", "Ga", "Ga", "Ga", "Ga", "Ga", "Ga", "Pd", "Pd", "Pd", "Pd", "Pd", "Pd"],
  "fractional_positions": [[0.110, 0.890, 0.909], [0.390, 0.610, 0.409], [0.610, 0.390, 0.591], [0.890, 0.110, 0.091], [0.178, 0.822, 0.521], [0.190, 0.310, 0.750], [0.310, 0.190, 0.250], [0.322, 0.678, 0.021], [0.678, 0.322, 0.979], [0.690, 0.810, 0.750], [0.810, 0.690, 0.250], [0.822, 0.178, 0.479], [0.000, 0.000, 0.500], [0.019, 0.481, 0.750], [0.481, 0.019, 0.250], [0.500, 0.500, 0.000], [0.519, 0.981, 0.750], [0.981, 0.519, 0.250]]
}



15.
{
  "formula": "Y2GaPd",
  "functional": "PBE",
  "state": "relaxed",
  "e_form_ev_per_atom": -0.33,
  "vol_a3_per_cell": 401.4,
  "lattice": [[7.737, 0.000, 0.000], [0.000, 7.737, 0.000], [0.000, 0.000, 6.705]],
  "species": ["Y", "Y", "Y", "Y", "Y", "Y", "Y", "Y", "Ga", "Ga", "Ga", "Ga", "Pd", "Pd", "Pd", "Pd"],
  "fractional_positions": [[0.229, 0.750, 0.125], [0.250, 0.229, 0.875], [0.250, 0.271, 0.375], [0.271, 0.750, 0.625], [0.729, 0.250, 0.625], [0.750, 0.729, 0.375], [0.750, 0.771, 0.875], [0.771, 0.250, 0.125], [0.000, 0.000, 0.500], [0.000, 0.500, 0.750], [0.500, 0.000, 0.250], [0.500, 0.500, 0.000], [0.000, 0.000, 0.000], [0.000, 0.500, 0.250], [0.500, 0.000, 0.750], [0.500, 0.500, 0.500]]
}



16.
{
  "formula": "Y3GaPd",
  "functional": "PBE",
  "state": "relaxed",
  "e_form_ev_per_atom": -0.48,
  "vol_a3_per_cell": 520.5,
  "e_above_lowest_polymorph_ev_per_atom": 0.000,
  "lattice": [[5.877, -5.451, 0.000], [5.877, 5.451, 0.000], [-0.099, 0.000, 8.123]],
  "species": ["Y", "Y", "Y", "Y", "Y", "Y", "Y", "Y", "Y", "Y", "Y", "Y", "Ga", "Ga", "Ga", "Ga", "Pd", "Pd", "Pd", "Pd"],
  "fractional_positions": [[0.016, 0.805, 0.581], [0.077, 0.424, 0.803], [0.195, 0.984, 0.919], [0.300, 0.494, 0.417], [0.424, 0.077, 0.303], [0.494, 0.300, 0.917], [0.506, 0.700, 0.083], [0.576, 0.923, 0.697], [0.700, 0.506, 0.583], [0.805, 0.016, 0.081], [0.923, 0.576, 0.197], [0.984, 0.195, 0.419], [0.164, 0.836, 0.250], [0.348, 0.652, 0.750], [0.652, 0.348, 0.250], [0.836, 0.164, 0.750], [0.176, 0.293, 0.129], [0.293, 0.176, 0.629], [0.707, 0.824, 0.371], [0.824, 0.707, 0.871]]
}



17.
{
  "formula": "YGaPd2",
  "functional": "PBE",
  "state": "relaxed",
  "e_form_ev_per_atom": -0.43,
  "vol_a3_per_cell": 328.6,
  "lattice": [[4.296, 0.000, 0.000], [0.000, 4.296, 0.000], [0.000, 0.000, 17.803]],
  "species": ["Y", "Y", "Y", "Y", "Ga", "Ga", "Ga", "Ga", "Pd", "Pd", "Pd", "Pd", "Pd", "Pd", "Pd", "Pd"],
  "fractional_positions": [[0.000, 0.000, 0.000], [0.000, 0.500, 0.250], [0.500, 0.000, 0.750], [0.500, 0.500, 0.500], [0.000, 0.000, 0.500], [0.000, 0.500, 0.750], [0.500, 0.000, 0.250], [0.500, 0.500, 0.000], [0.200, 0.250, 0.625], [0.250, 0.700, 0.875], [0.250, 0.800, 0.375], [0.300, 0.250, 0.125], [0.700, 0.750, 0.125], [0.750, 0.200, 0.375], [0.750, 0.300, 0.875], [0.800, 0.750, 0.625]]
}



18.
{
  "formula": "Y2Ga5Pd",
  "functional": "PBE",
  "state": "relaxed",
  "e_form_ev_per_atom": -0.58,
  "vol_a3_per_cell": 307.7,
  "lattice": [[6.016, 0.000, 0.000], [0.000, 6.016, 0.000], [0.000, 0.000, 8.503]],
  "species": ["Y", "Y", "Y", "Y", "Ga", "Ga", "Ga", "Ga", "Ga", "Ga", "Ga", "Ga", "Ga", "Ga", "Pd", "Pd"],
  "fractional_positions": [[0.000, 0.500, 0.000], [0.000, 0.500, 0.500], [0.500, 0.000, 0.000], [0.500, 0.000, 0.500], [0.000, 0.000, 0.496], [0.248, 0.248, 0.750], [0.248, 0.752, 0.750], [0.252, 0.252, 0.250], [0.252, 0.748, 0.250], [0.500, 0.500, 0.996], [0.748, 0.252, 0.250], [0.748, 0.748, 0.250], [0.752, 0.248, 0.750], [0.752, 0.752, 0.750], [0.000, 0.000, 0.003], [0.500, 0.500, 0.503]]
}



19.
{
  "formula": "Y2Ga5Pd4",
  "functional": "PBE",
  "state": "relaxed",
  "e_form_ev_per_atom": -0.75,
  "vol_a3_per_cell": 204.2,
  "lattice": [[0.000, 4.572, 8.292], [2.693, 0.000, 8.292], [2.693, 4.572, 0.000]],
  "species": ["Y", "Y", "Ga", "Ga", "Ga", "Ga", "Ga", "Pd", "Pd", "Pd", "Pd"],
  "fractional_positions": [[0.124, 0.124, 0.876], [0.876, 0.876, 0.124], [0.000, 0.000, 0.500], [0.250, 0.250, 0.250], [0.500, 0.500, 0.000], [0.500, 0.500, 0.500], [0.750, 0.750, 0.750], [0.208, 0.531, 0.469], [0.469, 0.792, 0.208], [0.531, 0.208, 0.792], [0.792, 0.469, 0.531]]
}



20.
{
  "formula": "YGa2Pd",
  "functional": "PBE",
  "state": "relaxed",
  "e_form_ev_per_atom": -0.42,
  "vol_a3_per_cell": 354.7,
  "lattice": [[4.445, 0.000, 0.000], [0.000, 4.445, 0.000], [0.000, 0.000, 17.954]],
  "species": ["Y", "Y", "Y", "Y", "Ga", "Ga", "Ga", "Ga", "Ga", "Ga", "Ga", "Ga", "Pd", "Pd", "Pd", "Pd"],
  "fractional_positions": [[0.000, 0.000, 0.000], [0.000, 0.500, 0.250], [0.500, 0.000, 0.750], [0.500, 0.500, 0.500], [0.120, 0.250, 0.625], [0.250, 0.620, 0.875], [0.250, 0.880, 0.375], [0.380, 0.250, 0.125], [0.620, 0.750, 0.125], [0.750, 0.120, 0.375], [0.750, 0.380, 0.875], [0.880, 0.750, 0.625], [0.000, 0.000, 0.500], [0.000, 0.500, 0.750], [0.500, 0.000, 0.250], [0.500, 0.500, 0.000]]
}